[1]
Density functional theory data (GGA-PBE) for a relaxed structure of LiAcEr2.

Values from the calculation:
Formation energy from the elements ... 0.2005 eV/atom
DOS at the Fermi energy ... 6.29 states/eV/cell
DFT total energy ... -14.346 eV/f.u.
Excess energy over the best structure of this formula in the dataset ... 84 meV per atom

Unit cell a=5.453 b=4.854 c=4.854 alpha=90.00 beta=90.00 gamma=90.00
Fractional coordinates of all 4 atoms:
Er: 0.000 0.000 0.500
Er: 0.000 0.500 0.000
Li: 0.500 0.000 0.000
Ac: 0.500 0.500 0.500


[2]
Density functional theory data (GGA-PBE) for a relaxed structure of LiAcEr2.

Values from the calculation:
Formation energy from the elements ... 0.2813 eV/atom
DOS at the Fermi energy ... 4.41 states/eV/cell
DFT total energy ... -14.023 eV/f.u.
Excess energy over the best structure of this formula in the dataset ... 165 meV per atom

Unit cell a=3.590 b=3.590 c=12.468 alpha=81.72 beta=81.72 gamma=60.00
Fractional coordinates of all 4 atoms:
Er: 0.913 0.913 0.261
Li: 0.000 0.000 0.000
Ac: 0.500 0.500 0.500
Er: 0.087 0.087 0.739


[3]
Density functional theory data (GGA-PBE) for a relaxed structure of Li4AcEr.

Values from the calculation:
Formation energy from the elements ... 0.1015 eV/atom
DOS at the Fermi energy ... 6.06 states/eV/cell
DFT total energy ... -15.718 eV/f.u.

Unit cell a=6.035 b=6.035 c=6.035 alpha=60.00 beta=60.00 gamma=60.00
Fractional coordinates of all 6 atoms:
Li: 0.623 0.623 0.131
Er: 0.250 0.250 0.250
Li: 0.623 0.623 0.623
Ac: 0.000 0.000 0.000
Li: 0.131 0.623 0.623
Li: 0.623 0.131 0.623


[4]
Density functional theory data (GGA-PBE) for a relaxed structure of LiAcErLu.

Values from the calculation:
Formation energy from the elements ... 0.1687 eV/atom
DOS at the Fermi energy ... 4.25 states/eV/cell
DFT total energy ... -14.431 eV/f.u.

Unit cell a=5.639 b=5.639 c=5.639 alpha=60.00 beta=60.00 gamma=60.00
Fractional coordinates of all 4 atoms:
Ac: 0.250 0.250 0.250
Lu: 0.500 0.500 0.500
Li: 0.000 0.000 0.000
Er: 0.750 0.750 0.750


[5]
Density functional theory data (GGA-PBE) for a relaxed structure of LiAcErNi.

Values from the calculation:
Formation energy from the elements ... -0.0273 eV/atom
DOS at the Fermi energy ... 2.74 states/eV/cell
DFT total energy ... -16.476 eV/f.u.

Unit cell a=5.145 b=5.145 c=5.145 alpha=60.00 beta=60.00 gamma=60.00
Fractional coordinates of all 4 atoms:
Er: 0.000 0.000 0.000
Li: 0.750 0.750 0.750
Ni: 0.250 0.250 0.250
Ac: 0.500 0.500 0.500


[6]
Density functional theory data (GGA-PBE) for a relaxed structure of LiAc2ErO5.

Values from the calculation:
Formation energy from raw total energies ... -2941 meV per atom
DOS at the Fermi energy ... 0.00 states/eV/cell
DFT total energy ... -65.950 eV/f.u.

Unit cell a=4.266 b=4.266 c=8.388 alpha=90.00 beta=90.00 gamma=90.00
Fractional coordinates of all 9 atoms:
O: 0.500 0.500 0.000
O: 0.000 0.000 0.770
Ac: 0.500 0.500 0.733
Er: 0.000 0.000 0.500
O: 0.000 0.500 0.500
Li: 0.000 0.000 0.000
O: 0.500 0.000 0.500
Ac: 0.500 0.500 0.267
O: 0.000 0.000 0.230


[7]
Density functional theory data (GGA-PBE) for a relaxed structure of LiAcErOs.

Values from the calculation:
Formation energy from the elements ... -0.0573 eV/atom
DOS at the Fermi energy ... 2.69 states/eV/cell
DFT total energy ... -22.044 eV/f.u.

Unit cell a=5.091 b=5.091 c=5.091 alpha=60.00 beta=60.00 gamma=60.00
Fractional coordinates of all 4 atoms:
Li: 0.500 0.500 0.500
Er: 0.250 0.250 0.250
Os: 0.000 0.000 0.000
Ac: 0.750 0.750 0.750


[8]
Density functional theory data (GGA-PBE) for a relaxed structure of Li3Ac2ErPb4.

Values from the calculation:
Formation energy from the elements ... -0.4766 eV/atom
DOS at the Fermi energy ... 1.57 states/eV/cell
DFT total energy ... -38.120 eV/f.u.

Unit cell a=4.820 b=4.820 c=12.114 alpha=90.00 beta=90.00 gamma=90.00
Fractional coordinates of all 10 atoms:
Pb: 0.000 0.500 0.349
Li: 0.000 0.500 0.125
Pb: 0.500 0.500 0.000
Li: 0.500 0.000 0.875
Ac: 0.500 0.000 0.233
Er: 0.500 0.500 0.500
Li: 0.000 0.000 0.500
Pb: 0.500 0.000 0.651
Pb: 0.000 0.000 0.000
Ac: 0.000 0.500 0.767


Among the records above, which one has the lowest DOS at the Fermi energy? LiAc2ErO5


Among the records above, which one has the lowest DOS at the Fermi energy? LiAc2ErO5


Which of these has the lowest DFT total energy? LiAc2ErO5


Look up the DFT total energy of the third one. -15.718 eV/f.u.